A geometry-optimized Sr2LaIr structure, computed with GGA-PBEsol.

Output
* energy of formation: 0.36 eV per atom
* total DFT energy (no corrections): -4.36 eV per atom

Structure (POSCAR):
```
Sr2LaIr
1.0
-1.7395 4.7551 -1.7201
-0.6732 0.8674 -5.2336
-4.9288 0.4733 -2.0196
Ir La Sr
1 1 2
Cartesian
0.0000 0.0000 0.0000 Ir
-3.6707 3.0479 -4.4866 La
-1.8354 1.5239 -2.2433 Sr
-5.5061 4.5718 -6.7299 Sr
```